## FeH2S (GGA-PBE)

Data for FeH2S after structural relaxation.

Cell: 3.861 3.861 3.472 Å, 56.22 56.22 60.00°
Site moments in Bohr magnetons follow the coordinates.
Fractional positions:
S1 0.500 0.500 0.500  -0.01
Fe1 0.000 0.000 0.000  2.35
H1 0.798 0.798 0.606  -0.04
H2 0.202 0.202 0.394  -0.04

Results
The value obtained for the energy above the most stable polymorph in this dataset is 96 kJ/mol of formula units. As for the mass density: 4.3 g/cm3. The calculation puts the density of states at the Fermi level at 2.820 states/eV/f.u. The calculated volume is 8.59 A^3/atom. Its space group is R-3m (166).

## FeSbH2S (GGA-PBE)

Data for FeSbH2S after structural relaxation.

Cell: 3.788 4.526 3.788 Å, 90.00 90.00 90.00°
Site moments in Bohr magnetons follow the coordinates.
Fractional positions:
S1 0.000 0.500 0.000  0.00
H1 0.000 0.000 0.500  -0.03
H2 0.500 0.000 0.000  -0.03
Fe1 0.000 0.000 0.000  2.18
Sb1 0.500 0.500 0.500  -0.14

Results
As for the energy: -4.2532 eV/atom. As for the mass density: 5.4 g/cm3. The calculation puts the density of states at the Fermi level at 3.993 states/eV/f.u. The calculated volume is 12.99 A^3/atom. Its space group is P4/mmm (123).

## ScFeHS2 (GGA-PBE)

Data for ScFeHS2 after structural relaxation.

Cell: 4.871 5.477 4.871 Å, 90.00 90.00 90.00°
Site moments in Bohr magnetons follow the coordinates.
Fractional positions:
S1 0.500 0.000 0.000  0.13
S2 0.000 0.000 0.500  0.14
Fe1 0.000 0.500 0.000  3.44
Sc1 0.000 0.000 0.000  -0.01
H1 0.500 0.500 0.500  0.36

Results
As for the energy: -4.5646 eV/atom. As for the mass density: 2.1 g/cm3. The calculation puts the density of states at the Fermi level at 10.316 states/eV/f.u. The calculated volume is 26.00 A^3/atom. Its space group is P4/mmm (123).

## ScFe2HS (GGA-PBE)

Data for ScFe2HS after structural relaxation.

Cell: 4.937 4.728 4.937 Å, 90.00 90.00 90.00°
Site moments in Bohr magnetons follow the coordinates.
Fractional positions:
Fe1 0.000 0.000 0.500  2.98
Fe2 0.500 0.000 0.000  3.03
Sc1 0.000 0.000 0.000  -0.39
S1 0.000 0.500 0.000  0.16
H1 0.500 0.500 0.500  0.25

Results
As for the energy: -4.7403 eV/atom. As for the mass density: 2.7 g/cm3. The calculation puts the density of states at the Fermi level at 5.674 states/eV/f.u. The calculated volume is 23.05 A^3/atom. Its space group is P4/mmm (123).